Record 1
An optimized crystal structure of NaLi2CdPd. Source: the Alexandria database, functional PBE-GGA.

magnetization: 0.00 μB/cell
total DFT energy (no corrections): -2.377 eV per atom
ΔE_f: -0.127 eV per atom

Structure (CIF):
```
data_NaLi2CdPd
_chemical_formula_sum 'Na1 Li2 Cd1 Pd1'
_cell_length_a 4.8095
_cell_length_b 4.8095
_cell_length_c 5.2802
_cell_angle_alpha 90.00
_cell_angle_beta 90.00
_cell_angle_gamma 90.00
_space_group_name_H-M_alt 'P 1'
_space_group_IT_number 1
loop_
_space_group_symop_operation_xyz
'x,y,z'
loop_
_atom_site_label
_atom_site_fract_x
_atom_site_fract_y
_atom_site_fract_z
Li1 0.0000 0.5000 0.0000
Li2 0.5000 0.0000 0.0000
Cd1 0.0000 0.0000 0.5000
Na1 0.5000 0.5000 0.5000
Pd1 0.0000 0.0000 0.0000
```

=====

Record 2
An optimized crystal structure of BaInRu2. Source: the Alexandria database, functional PBE-GGA.

magnetization: 1.47 μB/cell
total DFT energy (no corrections): -5.082 eV per atom
ΔE_f: 0.721 eV per atom

Structure (CIF):
```
data_BaInRu2
_chemical_formula_sum 'Ba1 In1 Ru2'
_cell_length_a 4.8593
_cell_length_b 4.8600
_cell_length_c 3.5284
_cell_angle_alpha 90.00
_cell_angle_beta 90.00
_cell_angle_gamma 90.00
_space_group_name_H-M_alt 'P 1'
_space_group_IT_number 1
loop_
_space_group_symop_operation_xyz
'x,y,z'
loop_
_atom_site_label
_atom_site_fract_x
_atom_site_fract_y
_atom_site_fract_z
Ru1 0.0000 0.0000 0.0000
Ru2 0.5000 0.5000 0.0000
Ba1 0.5000 0.0000 0.5000
In1 0.0000 0.5000 0.5000
```

=====

Record 3
An optimized crystal structure of LiTaFeRu. Source: the Alexandria database, functional PBE-GGA.

magnetization: 1.22 μB/cell
total DFT energy (no corrections): -7.879 eV per atom
ΔE_f: -0.003 eV per atom

Structure (CIF):
```
data_LiTaFeRu
_chemical_formula_sum 'Li1 Ta1 Fe1 Ru1'
_cell_length_a 4.2584
_cell_length_b 4.2584
_cell_length_c 4.2584
_cell_angle_alpha 60.00
_cell_angle_beta 60.00
_cell_angle_gamma 60.00
_space_group_name_H-M_alt 'P 1'
_space_group_IT_number 1
loop_
_space_group_symop_operation_xyz
'x,y,z'
loop_
_atom_site_label
_atom_site_fract_x
_atom_site_fract_y
_atom_site_fract_z
Ru1 0.5000 0.5000 0.5000
Ta1 0.2500 0.2500 0.2500
Li1 0.7500 0.7500 0.7500
Fe1 0.0000 0.0000 0.0000
```

=====

Record 4
An optimized crystal structure of NaLi2Tl2F7. Source: the Alexandria database, functional PBE-GGA.

magnetization: 0.00 μB/cell
total DFT energy (no corrections): -4.146 eV per atom
formation energy without anion corrections: -2.231 eV/atom

Structure (CIF):
```
data_NaLi2Tl2F7
_chemical_formula_sum 'Na1 Li2 Tl2 F7'
_cell_length_a 3.8220
_cell_length_b 3.8220
_cell_length_c 11.1892
_cell_angle_alpha 80.06
_cell_angle_beta 80.06
_cell_angle_gamma 90.00
_space_group_name_H-M_alt 'P 1'
_space_group_IT_number 1
loop_
_space_group_symop_operation_xyz
'x,y,z'
loop_
_atom_site_label
_atom_site_fract_x
_atom_site_fract_y
_atom_site_fract_z
F1 0.6057 0.1055 0.7882
F2 0.7096 0.7096 0.5763
F3 0.2904 0.2904 0.4237
F4 0.8945 0.3943 0.2118
F5 0.5000 0.5000 0.0000
F6 0.3943 0.8945 0.2118
F7 0.1055 0.6057 0.7882
Na1 0.0000 0.0000 0.0000
Li1 0.4151 0.4151 0.1712
Li2 0.5849 0.5849 0.8288
Tl1 0.8210 0.8210 0.3546
Tl2 0.1790 0.1790 0.6454
```

=====

Record 5
An optimized crystal structure of TmGaCo2. Source: the Alexandria database, functional PBE-GGA.

magnetization: 0.15 μB/cell
total DFT energy (no corrections): -5.647 eV per atom
ΔE_f: -0.219 eV per atom

Structure (CIF):
```
data_TmGaCo2
_chemical_formula_sum 'Tm1 Ga1 Co2'
_cell_length_a 3.1340
_cell_length_b 3.1340
_cell_length_c 6.0136
_cell_angle_alpha 90.00
_cell_angle_beta 90.00
_cell_angle_gamma 90.00
_space_group_name_H-M_alt 'P 1'
_space_group_IT_number 1
loop_
_space_group_symop_operation_xyz
'x,y,z'
loop_
_atom_site_label
_atom_site_fract_x
_atom_site_fract_y
_atom_site_fract_z
Co1 0.0000 0.0000 0.2126
Co2 0.0000 0.0000 0.7874
Ga1 0.5000 0.5000 0.0000
Tm1 0.5000 0.5000 0.5000
```

=====

Record 6
An optimized crystal structure of BeSb2Se. Source: the Alexandria database, functional PBE-GGA.

magnetization: 0.00 μB/cell
total DFT energy (no corrections): -3.656 eV per atom
formation energy without anion corrections: 0.208 eV/atom

Structure (CIF):
```
data_BeSb2Se
_chemical_formula_sum 'Be2 Sb4 Se2'
_cell_length_a 6.0907
_cell_length_b 6.0907
_cell_length_c 7.3679
_cell_angle_alpha 65.59
_cell_angle_beta 65.59
_cell_angle_gamma 90.00
_space_group_name_H-M_alt 'P 1'
_space_group_IT_number 1
loop_
_space_group_symop_operation_xyz
'x,y,z'
loop_
_atom_site_label
_atom_site_fract_x
_atom_site_fract_y
_atom_site_fract_z
Sb1 0.1898 0.6250 0.2500
Sb2 0.5602 0.1250 0.2500
Sb3 0.8750 0.8102 0.7500
Sb4 0.3750 0.4398 0.7500
Be1 0.2500 0.7500 0.5000
Be2 0.5000 0.5000 0.0000
Se1 0.7500 0.2500 0.5000
Se2 0.0000 0.0000 0.0000
```

=====

Copy entry 4 word for word.
An optimized crystal structure of NaLi2Tl2F7. Source: the Alexandria database, functional PBE-GGA.

magnetization: 0.00 μB/cell
total DFT energy (no corrections): -4.146 eV per atom
formation energy without anion corrections: -2.231 eV/atom

Structure (CIF):
```
data_NaLi2Tl2F7
_chemical_formula_sum 'Na1 Li2 Tl2 F7'
_cell_length_a 3.8220
_cell_length_b 3.8220
_cell_length_c 11.1892
_cell_angle_alpha 80.06
_cell_angle_beta 80.06
_cell_angle_gamma 90.00
_space_group_name_H-M_alt 'P 1'
_space_group_IT_number 1
loop_
_space_group_symop_operation_xyz
'x,y,z'
loop_
_atom_site_label
_atom_site_fract_x
_atom_site_fract_y
_atom_site_fract_z
F1 0.6057 0.1055 0.7882
F2 0.7096 0.7096 0.5763
F3 0.2904 0.2904 0.4237
F4 0.8945 0.3943 0.2118
F5 0.5000 0.5000 0.0000
F6 0.3943 0.8945 0.2118
F7 0.1055 0.6057 0.7882
Na1 0.0000 0.0000 0.0000
Li1 0.4151 0.4151 0.1712
Li2 0.5849 0.5849 0.8288
Tl1 0.8210 0.8210 0.3546
Tl2 0.1790 0.1790 0.6454
```

=====

> The lowest total DFT energy (no corrections) belongs to which entry?

LiTaFeRu

=====

Copy entry 2 word for word.
An optimized crystal structure of BaInRu2. Source: the Alexandria database, functional PBE-GGA.

magnetization: 1.47 μB/cell
total DFT energy (no corrections): -5.082 eV per atom
ΔE_f: 0.721 eV per atom

Structure (CIF):
```
data_BaInRu2
_chemical_formula_sum 'Ba1 In1 Ru2'
_cell_length_a 4.8593
_cell_length_b 4.8600
_cell_length_c 3.5284
_cell_angle_alpha 90.00
_cell_angle_beta 90.00
_cell_angle_gamma 90.00
_space_group_name_H-M_alt 'P 1'
_space_group_IT_number 1
loop_
_space_group_symop_operation_xyz
'x,y,z'
loop_
_atom_site_label
_atom_site_fract_x
_atom_site_fract_y
_atom_site_fract_z
Ru1 0.0000 0.0000 0.0000
Ru2 0.5000 0.5000 0.0000
Ba1 0.5000 0.0000 0.5000
In1 0.0000 0.5000 0.5000
```